# 1
# BaZn3H8 | the Alexandria database | PBE | optimized geometry
# Total magnetic moment (μB/f.u.): 0.00
# DFT total energy (eV per cell): -33.457
# N(E_F) (states/eV/f.u.): 0.000
data_BaZn3H8
_space_group_name_H-M_alt 'P 1'
_space_group_IT_number 1
_space_group_name_Hall 'P 1'
_cell_length_a 4.808
_cell_length_b 4.808
_cell_length_c 7.505
_cell_angle_alpha 71.32
_cell_angle_beta 71.32
_cell_angle_gamma 60.00
loop_
_atom_site_label
_atom_site_fract_x
_atom_site_fract_y
_atom_site_fract_z
H1 0.038 0.750 0.842
Zn1 0.000 0.000 0.000
H2 0.181 0.181 0.457
H3 0.630 0.962 0.158
Zn2 0.262 0.262 0.215
H4 0.819 0.819 0.543
H5 0.750 0.370 0.842
Ba1 0.500 0.500 0.500
H6 0.962 0.250 0.158
H7 0.250 0.630 0.158
H8 0.370 0.038 0.842
Zn3 0.738 0.738 0.785

***

# 2
# CsSb2H2 | the Alexandria database | PBE | optimized geometry
# Total magnetic moment (μB/f.u.): 0.00
# DFT total energy (eV per cell): -16.311
# N(E_F) (states/eV/f.u.): 0.241
data_CsSb2H2
_space_group_name_H-M_alt 'P 1'
_space_group_IT_number 1
_space_group_name_Hall 'P 1'
_cell_length_a 4.798
_cell_length_b 5.262
_cell_length_c 6.458
_cell_angle_alpha 113.54
_cell_angle_beta 91.92
_cell_angle_gamma 90.93
loop_
_atom_site_label
_atom_site_fract_x
_atom_site_fract_y
_atom_site_fract_z
Sb1 0.967 0.193 0.884
H1 0.670 0.817 0.147
Sb2 0.033 0.807 0.116
H2 0.330 0.183 0.853
Cs1 0.500 0.500 0.500

***

# 3
# Na2SrCd4 | the Alexandria database | PBE | optimized geometry
# Energy of formation from the pure elements (eV per formula unit): -1.4
# Total magnetic moment (μB/f.u.): 0.00
# N(E_F) (states/eV/f.u.): 3.774
data_Na2SrCd4
_space_group_name_H-M_alt 'P 1'
_space_group_IT_number 1
_space_group_name_Hall 'P 1'
_cell_length_a 6.383
_cell_length_b 5.786
_cell_length_c 6.383
_cell_angle_alpha 116.58
_cell_angle_beta 101.62
_cell_angle_gamma 63.42
loop_
_atom_site_label
_atom_site_fract_x
_atom_site_fract_y
_atom_site_fract_z
Na1 0.500 0.750 0.500
Cd1 0.000 0.310 0.623
Sr1 0.000 0.000 0.000
Cd2 0.377 0.310 0.000
Cd3 0.000 0.690 0.377
Cd4 0.623 0.690 0.000
Na2 0.500 0.250 0.500

***

# 4
# SrTl2Ag2I6 | the Alexandria database | PBE | optimized geometry
# Total magnetic moment (μB/f.u.): 0.00
# Formation energy (no corrections) (eV/atom): -0.740
# N(E_F) (states/eV/f.u.): 0.000
data_SrTl2Ag2I6
_space_group_name_H-M_alt 'P 1'
_space_group_IT_number 1
_space_group_name_Hall 'P 1'
_cell_length_a 8.824
_cell_length_b 8.709
_cell_length_c 8.469
_cell_angle_alpha 114.95
_cell_angle_beta 90.00
_cell_angle_gamma 120.44
loop_
_atom_site_label
_atom_site_fract_x
_atom_site_fract_y
_atom_site_fract_z
Tl1 0.742 0.484 0.176
Ag1 0.053 0.106 0.207
I1 0.738 0.475 0.582
Sr1 0.500 0.000 0.500
Ag2 0.947 0.894 0.793
I2 0.678 0.853 0.170
I3 0.175 0.853 0.170
Tl2 0.258 0.516 0.824
I4 0.262 0.525 0.418
I5 0.322 0.147 0.830
I6 0.825 0.147 0.830

***

# 5
# NpCo2Ge4Os | the Alexandria database | PBE | optimized geometry
# Energy of formation from the pure elements (eV per formula unit): -0.5
# Total magnetic moment (μB/f.u.): 3.69
# N(E_F) (states/eV/f.u.): 7.848
data_NpCo2Ge4Os
_space_group_name_H-M_alt 'P 1'
_space_group_IT_number 1
_space_group_name_Hall 'P 1'
_cell_length_a 4.061
_cell_length_b 4.061
_cell_length_c 9.123
_cell_angle_alpha 77.14
_cell_angle_beta 77.14
_cell_angle_gamma 60.00
loop_
_atom_site_label
_atom_site_fract_x
_atom_site_fract_y
_atom_site_fract_z
Ge1 0.398 0.398 0.805
Co1 0.769 0.769 0.694
Co2 0.231 0.231 0.306
Os1 0.500 0.500 0.500
Np1 0.000 0.000 0.000
Ge2 0.126 0.126 0.621
Ge3 0.602 0.602 0.195
Ge4 0.874 0.874 0.379

***

# 6
# NbTe6Ru | the Alexandria database | PBE | optimized geometry
# Total magnetic moment (μB/f.u.): 0.00
# Formation energy (no corrections) (eV/atom): -0.105
# N(E_F) (states/eV/f.u.): 5.855
data_NbTe6Ru
_space_group_name_H-M_alt 'P 1'
_space_group_IT_number 1
_space_group_name_Hall 'P 1'
_cell_length_a 6.777
_cell_length_b 6.876
_cell_length_c 7.485
_cell_angle_alpha 56.23
_cell_angle_beta 57.02
_cell_angle_gamma 56.37
loop_
_atom_site_label
_atom_site_fract_x
_atom_site_fract_y
_atom_site_fract_z
Te1 0.713 0.073 0.814
Te2 0.957 0.552 0.283
Te3 0.287 0.927 0.186
Ru1 0.000 0.000 0.000
Te4 0.416 0.796 0.702
Te5 0.043 0.448 0.717
Te6 0.584 0.204 0.298
Nb1 0.500 0.500 0.500

***

# 7
# TiGaCo2 | the Alexandria database | PBE | optimized geometry
# Energy of formation from the pure elements (eV per formula unit): 0.5
# Total magnetic moment (μB/f.u.): 0.00
# N(E_F) (states/eV/f.u.): 3.073
data_TiGaCo2
_space_group_name_H-M_alt 'P 1'
_space_group_IT_number 1
_space_group_name_Hall 'P 1'
_cell_length_a 6.410
_cell_length_b 6.410
_cell_length_c 5.262
_cell_angle_alpha 52.48
_cell_angle_beta 52.48
_cell_angle_gamma 90.00
loop_
_atom_site_label
_atom_site_fract_x
_atom_site_fract_y
_atom_site_fract_z
Ti1 0.250 0.750 0.500
Co1 0.875 0.865 0.750
Co2 0.615 0.125 0.250
Ga1 0.750 0.250 0.500
Co3 0.135 0.625 0.250
Ga2 0.000 0.000 0.000
Co4 0.375 0.385 0.750
Ti2 0.500 0.500 0.000

***

# 8
# HfPIrCl2 | the Alexandria database | PBE | optimized geometry
# Total magnetic moment (μB/f.u.): 0.72
# Formation energy (no corrections) (eV/atom): 0.507
# N(E_F) (states/eV/f.u.): 2.191
data_HfPIrCl2
_space_group_name_H-M_alt 'P 1'
_space_group_IT_number 1
_space_group_name_Hall 'P 1'
_cell_length_a 4.621
_cell_length_b 4.621
_cell_length_c 4.855
_cell_angle_alpha 90.00
_cell_angle_beta 90.00
_cell_angle_gamma 90.00
loop_
_atom_site_label
_atom_site_fract_x
_atom_site_fract_y
_atom_site_fract_z
Cl1 0.500 0.000 0.000
Hf1 0.500 0.500 0.500
P1 0.000 0.000 0.500
Cl2 0.000 0.500 0.000
Ir1 0.000 0.000 0.000

***

# 9
# AcLaP2 | the Alexandria database | PBE | optimized geometry
# Energy of formation from the pure elements (eV per formula unit): -5.2
# Total magnetic moment (μB/f.u.): 0.00
# N(E_F) (states/eV/f.u.): 0.157
data_AcLaP2
_space_group_name_H-M_alt 'P 1'
_space_group_IT_number 1
_space_group_name_Hall 'P 1'
_cell_length_a 4.289
_cell_length_b 7.556
_cell_length_c 7.439
_cell_angle_alpha 90.00
_cell_angle_beta 90.00
_cell_angle_gamma 90.00
loop_
_atom_site_label
_atom_site_fract_x
_atom_site_fract_y
_atom_site_fract_z
P1 0.000 0.744 0.665
P2 0.500 0.756 0.165
Ac1 0.000 0.500 0.000
P3 0.000 0.256 0.335
La1 0.500 0.500 0.500
Ac2 0.500 0.000 0.500
La2 0.000 0.000 0.000
P4 0.500 0.244 0.835

***

# 10
# Co2AgH | the Alexandria database | PBE | optimized geometry
# Total magnetic moment (μB/f.u.): 3.05
# DFT total energy (eV per cell): -77.172
# N(E_F) (states/eV/f.u.): 4.617
data_Co2AgH
_space_group_name_H-M_alt 'P 1'
_space_group_IT_number 1
_space_group_name_Hall 'P 1'
_cell_length_a 5.037
_cell_length_b 6.985
_cell_length_c 7.075
_cell_angle_alpha 90.00
_cell_angle_beta 135.40
_cell_angle_gamma 90.00
loop_
_atom_site_label
_atom_site_fract_x
_atom_site_fract_y
_atom_site_fract_z
H1 0.446 0.480 0.859
Ag1 0.616 0.362 0.359
Co1 0.917 0.000 0.609
Co2 0.899 0.760 0.359
H2 0.446 0.980 0.359
Co3 0.917 0.500 0.109
Ag2 0.616 0.862 0.859
Co4 0.899 0.260 0.859
Co5 0.417 0.000 0.109
H3 0.946 0.520 0.359
Ag3 0.116 0.138 0.359
Ag4 0.116 0.638 0.859
Co6 0.399 0.740 0.359
H4 0.946 0.020 0.859
Co7 0.417 0.500 0.609
Co8 0.399 0.240 0.859

***

# 11
# ErSiPd3 | the Alexandria database | PBE | optimized geometry
# Total magnetic moment (μB/f.u.): 0.00
# Formation energy (no corrections) (eV/atom): -0.523
# N(E_F) (states/eV/f.u.): 1.642
data_ErSiPd3
_space_group_name_H-M_alt 'P 1'
_space_group_IT_number 1
_space_group_name_Hall 'P 1'
_cell_length_a 5.180
_cell_length_b 5.180
_cell_length_c 8.568
_cell_angle_alpha 107.60
_cell_angle_beta 107.60
_cell_angle_gamma 90.00
loop_
_atom_site_label
_atom_site_fract_x
_atom_site_fract_y
_atom_site_fract_z
Pd1 0.122 0.376 0.245
Pd2 0.291 0.291 0.583
Pd3 0.709 0.709 0.417
Er1 0.599 0.099 0.199
Pd4 0.122 0.869 0.245
Pd5 0.624 0.878 0.755
Pd6 0.131 0.878 0.755
Si1 0.250 0.750 0.500
Si2 0.000 0.000 0.000
Er2 0.901 0.401 0.801

***

# 12
# BSb2TeIr | the Alexandria database | PBE | optimized geometry
# Total magnetic moment (μB/f.u.): 0.00
# Formation energy (no corrections) (eV/atom): 2.009
# N(E_F) (states/eV/f.u.): 2.630
data_BSb2TeIr
_space_group_name_H-M_alt 'P 1'
_space_group_IT_number 1
_space_group_name_Hall 'P 1'
_cell_length_a 5.785
_cell_length_b 4.810
_cell_length_c 5.785
_cell_angle_alpha 90.00
_cell_angle_beta 90.00
_cell_angle_gamma 90.00
loop_
_atom_site_label
_atom_site_fract_x
_atom_site_fract_y
_atom_site_fract_z
B1 0.500 0.500 0.500
Ir1 0.000 0.500 0.000
Sb1 0.500 0.000 0.000
Te1 0.000 0.000 0.000
Sb2 0.000 0.000 0.500

***

Computed values of volume (unit: Å³ per atom) for the preceding records, in sequence: 11.635; 29.867; 26.931; 44.488; 15.743; 28.361; 13.726; 20.732; 30.130; 10.924; 20.786; 32.199.